# TaGaSi2As, optimized geometry, DFT GGA-PBE
# formation energy (no corrections) = 1.297 eV/atom
# crystal system = tetragonal
data_TaGaSi2As
_chemical_formula_sum 'Ta1 Ga1 Si2 As1'
_cell_length_a 4.541
_cell_length_b 4.541
_cell_length_c 4.922
_cell_angle_alpha 90.00
_cell_angle_beta 90.00
_cell_angle_gamma 90.00
_symmetry_space_group_name_H-M 'P 4/m m m'
_symmetry_Int_Tables_number 123
_symmetry_space_group_name_Hall '-P 4 2'
loop_
_atom_site_label
_atom_site_type_symbol
_atom_site_fract_x
_atom_site_fract_y
_atom_site_fract_z
Ta1 Ta 0.000 0.000 0.000
Ga1 Ga 0.500 0.500 0.500
Si1 Si 0.000 0.500 0.500
As1 As 0.500 0.500 0.000